Computed, not measured: a geometry-optimized Pm3Cd2Hg6 structure at the PBE level of DFT.

Lattice parameters (Å, degrees): 4.276 4.276 16.826 97.30 97.30 90.00
Fractional positions:
Pm 0.000 0.000 0.000
Pm 0.822 0.822 0.644
Pm 0.178 0.178 0.356
Cd 0.362 0.362 0.725
Cd 0.638 0.638 0.275
Hg 0.072 0.572 0.144
Hg 0.572 0.072 0.144
Hg 0.928 0.428 0.856
Hg 0.428 0.928 0.856
Hg 0.726 0.726 0.453
Hg 0.274 0.274 0.547

Summary:
- Mass density: 10225 kg/m³
- E_tot: -0.134 Ry/atom
- Space-group type: No. 139
- Total magnetization: 0.0 μB/cell